The following is a DFT calculation (GGA-PBE) of AgBiO3 after structural relaxation.

a b c (Å): 6.835 6.113 7.697
angles (deg): 90.00 102.93 90.00
Space group P2_1/c (No. 14)
Inequivalent atoms, fractional coordinates:
Ag: 0.138 0.232 0.073
Bi: 0.310 0.706 0.295
O: 0.141 0.105 0.818
O: 0.166 0.656 0.014
O: 0.396 0.046 0.190

## Properties
spin magnetization: 0.000 μB/cell
V: 313.46 Å³ per cell
calculated total energy: -97.74 eV per cell
N(E_F): 4.0 states/eV/cell